(1)
Density functional theory data (GGA-PBE) for a relaxed structure of PaBeSb.

The calculation puts the total magnetization at 0.1 μB/f.u. The final energy comes out at -5.69 eV per atom. The energy above the lowest structure with this stoichiometry is 0.000 eV/atom.

It has space group F-43m (No. 216), with a = 6.3351 Å, b = 6.3351 Å, c = 6.3351 Å, α = 90.00°, β = 90.00° and γ = 90.00°. The distinct sites, in fractional coordinates, are Pa at (0.0000, 0.0000, 0.0000), Be at (0.2500, 0.2500, 0.2500) and Sb at (0.0000, 0.0000, 0.5000).

---

(2)
Density functional theory data (GGA-PBE) for a relaxed structure of ScPaBe.

The calculation puts the total magnetization at 1.9 μB/f.u. The final energy comes out at -5.26 eV per atom. The energy above the lowest structure with this stoichiometry is 0.797 eV/atom.

It has space group F-43m (No. 216), with a = 6.4695 Å, b = 6.4695 Å, c = 6.4695 Å, α = 90.00°, β = 90.00° and γ = 90.00°. The distinct sites, in fractional coordinates, are Sc at (0.0000, 0.0000, 0.0000), Pa at (0.2500, 0.2500, 0.7500) and Be at (0.0000, 0.0000, 0.5000).

---

(3)
Density functional theory data (GGA-PBE) for a relaxed structure of ScPaBe.

The calculation puts the total magnetization at 0.0 μB/f.u. The final energy comes out at -6.06 eV per atom. The energy above the lowest structure with this stoichiometry is 0.000 eV/atom.

It has space group F-43m (No. 216), with a = 6.3556 Å, b = 6.3556 Å, c = 6.3556 Å, α = 90.00°, β = 90.00° and γ = 90.00°. The distinct sites, in fractional coordinates, are Sc at (0.0000, 0.0000, 0.0000), Pa at (0.0000, 0.0000, 0.5000) and Be at (0.2500, 0.2500, 0.7500).

---

(4)
Density functional theory data (GGA-PBE) for a relaxed structure of PaBeSe2.

The calculation puts the total magnetization at 0.6 μB/f.u. The final energy comes out at -5.71 eV per atom.

It has space group Cmcm (No. 63), with a = 6.4635 Å, b = 9.8953 Å, c = 4.9907 Å, α = 90.00°, β = 90.00° and γ = 90.00°. The distinct sites, in fractional coordinates, are Pa at (0.0000, 0.1333, 0.2500), Be at (0.0000, 0.5000, 0.0000) and Se at (0.2456, 0.1199, 0.7500).